RbMgCd2Rh | PBE | optimized geometry

Structure (CIF):
```
data_RbMgCd2Rh
_symmetry_space_group_name_H-M 'P 4/m m m'
_symmetry_Int_Tables_number 123
_symmetry_space_group_name_Hall '-P 4 2'
_cell_length_a 5.355
_cell_length_b 5.355
_cell_length_c 5.051
_cell_angle_alpha 90.00
_cell_angle_beta 90.00
_cell_angle_gamma 90.00
loop_
_atom_site_label
_atom_site_type_symbol
_atom_site_fract_x
_atom_site_fract_y
_atom_site_fract_z
Rb1 Rb 0.000 0.000 0.000
Mg1 Mg 0.500 0.500 0.000
Cd1 Cd 0.000 0.500 0.500
Rh1 Rh 0.500 0.500 0.500
```

Calculated values
DOS at the Fermi energy in states/eV/f.u.: 1.83
Formation enthalpy at 0 K in meV/atom: -115
Raw total energy in eV for the cell shown: -12.32